VASP calculation (GGA-PBE) on a relaxed La8Tb2Sm crystal.

Cell: 9.2913 16.8836 6.1127 Å, 90.00 124.31 90.00°
Space group C2/m (No. 12)
Asymmetric unit:
La  0.0000  0.2054  0.0000 x4
La  0.0787  0.5000  0.7985 x4
La  0.2158  0.1196  0.6846 x8
Tb  0.0000  0.3108  0.5000 x4
Sm  0.0000  0.0000  0.0000 x2

Values from the calculation:
As for the energy above the lowest structure with this stoichiometry: 9.8 kJ per mole of atoms. For the energy relative to the elements, the calculation gives 0.12 eV per atom.

VASP calculation (GGA-PBE) on a relaxed UGe3Pd3 crystal.

Cell: 6.7663 6.7663 6.7663 Å, 90.00 90.00 90.00°
Space group Pm-3n (No. 223)
Asymmetric unit:
U  0.0000  0.0000  0.0000 x2
Ge  0.0000  0.2500  0.5000 x6
Pd  0.0000  0.5000  0.2500 x6

Values from the calculation:
For the energy relative to the elements, the calculation gives 0.04 eV per atom.

VASP calculation (GGA-PBE) on a relaxed Ac3MgTl3 crystal.

Cell: 12.4674 5.0225 16.4068 Å, 90.00 110.24 90.00°
Space group C2/m (No. 12)
Asymmetric unit:
Ac  0.0203  0.0000  0.3799 x4
Ac  0.0963  0.0000  0.9180 x4
Ac  0.2376  0.0000  0.2244 x4
Mg  0.2386  0.5000  0.4080 x4
Tl  0.0355  0.5000  0.2377 x4
Tl  0.1204  0.5000  0.0732 x4
Tl  0.1320  0.5000  0.5514 x4

Values from the calculation:
As for the energy above the lowest structure with this stoichiometry: 0.0 kJ per mole of atoms. For the energy relative to the elements, the calculation gives -0.33 eV per atom.

VASP calculation (GGA-PBE) on a relaxed Tb3Sm5Er2 crystal.

Cell: 10.6814 15.0169 9.8704 Å, 90.00 122.68 90.00°
Space group C2/c (No. 15)
Asymmetric unit:
Tb  0.0000  0.2291  0.2500 x4
Tb  0.1473  0.1262  0.0538 x8
Sm  0.0000  0.0209  0.2500 x4
Sm  0.0000  0.2728  0.7500 x4
Sm  0.0000  0.4763  0.7500 x4
Sm  0.2398  0.3747  0.2328 x8
Er  0.1569  0.3747  0.5540 x8

Values from the calculation:
As for the energy above the lowest structure with this stoichiometry: 0.0 kJ per mole of atoms. For the energy relative to the elements, the calculation gives 0.19 eV per atom.

VASP calculation (GGA-PBE) on a relaxed Nd14ThMg crystal.

Cell: 7.2748 7.2748 10.3640 Å, 90.00 90.00 90.00°
Space group P4/mmm (No. 123)
Asymmetric unit:
Nd  0.0000  0.0000  0.0000 x1
Nd  0.0000  0.5000  0.0000 x2
Nd  0.0000  0.5000  0.5000 x2
Nd  0.2484  0.2484  0.2542 x8
Nd  0.5000  0.5000  0.0000 x1
Th  0.0000  0.0000  0.5000 x1
Mg  0.5000  0.5000  0.5000 x1

Values from the calculation:
For the energy relative to the elements, the calculation gives 0.01 eV per atom.

> Which value of energy relative to the elements does entry 1 give?

0.12 eV per atom